An optimized crystal structure of Ho3InSb, computed with PBE.

Computed properties:
total magnetic moment: 0.1874 μB per atom
SG: P2_1/m (11)
ΔE_f (raw): -0.489 eV/atom

CIF file:
```
data_Ho3InSb
_chemical_formula_sum 'Ho6 In2 Sb2'
_space_group_name_H-M_alt 'P 1'
_space_group_IT_number 1
_space_group_name_Hall 'P 1'
_cell_length_a 4.327
_cell_length_b 9.570
_cell_length_c 9.590
_cell_angle_alpha 112.78
_cell_angle_beta 116.83
_cell_angle_gamma 89.99
loop_
_atom_site_label
_atom_site_type_symbol
_atom_site_fract_x
_atom_site_fract_y
_atom_site_fract_z
Ho1 Ho 0.315 0.372 0.565
Ho2 Ho 0.800 0.348 0.050
Ho3 Ho 0.907 0.995 0.157
Ho4 Ho 0.685 0.628 0.435
Ho5 Ho 0.093 0.005 0.843
Ho6 Ho 0.200 0.652 0.950
In1 In 0.491 0.744 0.741
In2 In 0.509 0.256 0.259
Sb1 Sb 0.019 0.293 0.770
Sb2 Sb 0.981 0.707 0.230
```